Entry 1:
The following is a DFT calculation (GGA+U) of CoAgAsO4 after structural relaxation.

a = 5.351 Å, b = 5.351 Å, c = 5.351 Å
α = 118.50°, β = 118.50°, γ = 92.62°
Fractional coordinates of all 7 atoms:
Co 0.000 0.000 0.000
Ag 0.500 0.500 0.000
As 0.250 0.750 0.500
O 0.162 0.726 0.131
O 0.274 0.406 0.436
O 0.594 0.031 0.869
O 0.969 0.838 0.564

Entry 2:
The following is a DFT calculation (GGA+U) of CoAg2AsO after structural relaxation.

a = 4.923 Å, b = 4.923 Å, c = 4.231 Å
α = 90.00°, β = 90.00°, γ = 90.00°
Fractional coordinates of all 5 atoms:
Co 0.000 0.000 0.000
Ag 0.000 0.500 0.000
Ag 0.500 0.000 0.000
As 0.000 0.000 0.500
O 0.500 0.500 0.500

Entry 3:
The following is a DFT calculation (GGA+U) of CoAg2AsO4 after structural relaxation.

a = 5.249 Å, b = 5.295 Å, c = 5.668 Å
α = 117.71°, β = 117.53°, γ = 90.04°
Fractional coordinates of all 8 atoms:
Co 0.000 0.000 0.000
Ag 0.250 0.748 0.498
Ag 0.503 0.505 0.007
As 0.752 0.252 0.503
O 0.026 0.597 0.738
O 0.404 0.288 0.265
O 0.712 0.142 0.739
O 0.863 0.979 0.268

Entry 4:
The following is a DFT calculation (GGA+U) of CoAgAs2O6 after structural relaxation.

a = 7.146 Å, b = 7.146 Å, c = 6.408 Å
α = 107.66°, β = 107.66°, γ = 82.81°
Fractional coordinates of all 20 atoms:
Co 0.236 0.764 0.750
Co 0.764 0.236 0.250
Ag 0.394 0.606 0.250
Ag 0.606 0.394 0.750
As 0.127 0.283 0.653
As 0.283 0.127 0.153
As 0.717 0.873 0.847
As 0.873 0.717 0.347
O 0.114 0.194 0.329
O 0.123 0.668 0.406
O 0.194 0.114 0.829
O 0.266 0.487 0.807
O 0.332 0.877 0.094
O 0.487 0.266 0.307
O 0.513 0.734 0.693
O 0.668 0.123 0.906
O 0.734 0.513 0.193
O 0.806 0.886 0.171
O 0.877 0.332 0.594
O 0.886 0.806 0.671

Entry 5:
The following is a DFT calculation (GGA+U) of CoAgAs2O8 after structural relaxation.

a = 4.865 Å, b = 4.865 Å, c = 7.265 Å
α = 90.00°, β = 90.00°, γ = 120.00°
Fractional coordinates of all 12 atoms:
Co 0.000 0.000 0.000
Ag 0.000 0.000 0.500
As 0.333 0.667 0.782
As 0.667 0.333 0.218
O 0.003 0.694 0.846
O 0.306 0.309 0.846
O 0.309 0.003 0.154
O 0.333 0.667 0.545
O 0.667 0.333 0.455
O 0.691 0.997 0.846
O 0.694 0.691 0.154
O 0.997 0.306 0.154

| no. | total DFT energy (no corrections) (eV/atom) |
| --- | --- |
| 1 | -5.60 |
| 2 | -3.12 |
| 3 | -5.09 |
| 4 | -5.59 |
| 5 | -5.43 |